1.
10
Lattice="-1.938 0.606 -2.819 3.260 -5.147 -3.347 -4.760 -4.513 2.303" Properties=species:S:1:pos:R:3 comment="Hf2ScP2, PBEsol geometry, DFT meta-GGA SCAN" formation_enthalpy_0k_ev_per_atom=-1.2137 magmom_total_mub_per_cell=0.00 n_ef_per_ev_cell=5.681 total_energy_ev_per_atom=-33.290 sg="No. 127" pbc="T T T"
Hf 0.149 -5.571 -3.440
P 1.421 -3.917 -1.819
Sc -0.750 -4.830 -0.522
Hf -3.587 -3.483 -0.424
Sc 0.000 0.000 0.000
P -1.265 -2.345 0.365
P -0.236 -7.315 -1.410
Hf -0.609 -2.170 -2.189
P -2.922 -5.743 0.774
Hf -2.829 -6.884 -1.675


2.
5
Lattice="-4.552 -1.121 0.161 0.598 -1.814 4.284 -0.962 4.178 1.903" Properties=species:S:1:pos:R:3 comment="HfScP3, PBEsol geometry, DFT meta-GGA SCAN" formation_enthalpy_0k_ev_per_atom=0.4536 magmom_total_mub_per_cell=0.00 n_ef_per_ev_cell=4.672 total_energy_ev_per_atom=-21.168 sg="No. 221" pbc="T T T"
P 0.299 -0.907 2.142
Sc 0.000 0.000 0.000
P -2.276 -0.560 0.080
Hf -2.458 0.621 3.174
P -0.481 2.089 0.952


3.
8
Lattice="-0.532 5.649 1.239 -5.278 0.035 -2.424 0.543 -4.188 5.716" Properties=species:S:1:pos:R:3 comment="Hf2PSe, PBEsol geometry, DFT meta-GGA SCAN" magmom_total_mub_per_cell=0.00 n_ef_per_ev_cell=4.111 e_form_raw_ev_per_atom=-0.608 total_energy_ev_per_atom=-39.564 sg="No. 122" pbc="T T T"
Hf -2.299 3.804 1.581
P -1.447 2.152 3.181
Se 0.000 0.000 0.000
Se -3.820 -0.656 1.350
P -2.905 2.842 -0.592
Hf -3.126 0.411 3.591
Hf -0.417 -2.430 4.094
Hf -4.692 1.207 -0.204


4.
5
Lattice="4.468 0.000 0.000 0.000 4.589 0.000 0.000 0.000 4.589" Properties=species:S:1:pos:R:3 comment="HfSi2TcP, PBEsol geometry, DFT meta-GGA SCAN" magmom_total_mub_per_cell=0.00 n_ef_per_ev_cell=3.688 e_form_raw_ev_per_atom=0.704 total_energy_ev_per_atom=-24.928 sg="No. 123" pbc="T T T"
Si 0.000 0.000 2.295
Si 0.000 2.295 0.000
Tc 0.000 0.000 0.000
Hf 2.234 2.295 2.295
P 2.234 0.000 0.000


5.
5
Lattice="4.843 0.000 0.000 0.000 4.843 0.000 0.000 0.000 4.843" Properties=species:S:1:pos:R:3 comment="HfTcP3, PBEsol geometry, DFT meta-GGA SCAN" formation_enthalpy_0k_ev_per_atom=0.8988 magmom_total_mub_per_cell=3.38 n_ef_per_ev_cell=2.616 total_energy_ev_per_atom=-24.887 sg="No. 221" pbc="T T T"
Hf 0.000 0.000 0.000
Tc 2.422 2.422 2.422
P 0.000 0.000 2.422
P 2.422 0.000 0.000
P 0.000 2.422 0.000


6.
5
Lattice="-3.550 -1.597 -2.761 2.977 -3.140 -2.012 -1.144 -3.219 3.332" Properties=species:S:1:pos:R:3 comment="Hf3TlP, PBEsol geometry, DFT meta-GGA SCAN" formation_enthalpy_0k_ev_per_atom=-0.2016 magmom_total_mub_per_cell=0.00 n_ef_per_ev_cell=3.435 total_energy_ev_per_atom=-54.357 sg="No. 221" pbc="T T T"
Hf 1.489 -1.570 -1.006
Tl -0.858 -3.978 -0.720
Hf -0.572 -1.610 1.666
Hf -1.775 -0.798 -1.380
P 0.000 0.000 0.000


7.
4
Lattice="4.716 0.000 0.000 2.358 4.085 0.000 2.358 1.362 3.851" Properties=species:S:1:pos:R:3 comment="HfTlP2, PBEsol geometry, DFT meta-GGA SCAN" formation_enthalpy_0k_ev_per_atom=0.0973 magmom_total_mub_per_cell=0.00 n_ef_per_ev_cell=1.379 total_energy_ev_per_atom=-38.860 sg="No. 225" pbc="T T T"
P 7.075 4.085 2.888
Hf 0.000 0.000 0.000
Tl 4.716 2.723 1.925
P 2.358 1.362 0.963


8.
5
Lattice="-2.041 -0.974 -4.298 2.033 -4.411 0.034 -3.910 -1.785 2.261" Properties=species:S:1:pos:R:3 comment="HfTlP3, PBEsol geometry, DFT meta-GGA SCAN" formation_enthalpy_0k_ev_per_atom=1.4524 magmom_total_mub_per_cell=0.00 n_ef_per_ev_cell=3.655 total_energy_ev_per_atom=-31.793 sg="No. 221" pbc="T T T"
Tl 0.000 0.000 0.000
Hf -1.959 -3.585 -1.001
P 1.017 -2.205 0.017
P -1.020 -0.487 -2.149
P -1.955 -0.892 1.131


9.
12
Lattice="-3.233 -1.166 0.165 2.231 -6.070 0.823 0.014 1.049 7.699" Properties=species:S:1:pos:R:3 comment="HfVP, PBEsol geometry, DFT meta-GGA SCAN" formation_enthalpy_0k_ev_per_atom=-1.1654 magmom_total_mub_per_cell=0.00 n_ef_per_ev_cell=5.066 total_energy_ev_per_atom=-31.352 sg="No. 62" pbc="T T T"
P -1.887 -1.943 3.109
P 0.899 -4.244 5.577
V 0.612 -3.132 7.809
Hf 0.399 -3.218 3.034
P -0.213 -0.974 6.895
Hf -0.270 -5.835 7.313
V -0.509 -0.499 4.448
V -0.479 -5.689 4.238
Hf -1.388 -2.970 5.652
P -0.775 -5.214 1.792
Hf -0.718 -0.353 1.374
V -1.600 -3.055 0.878


10.
28
Lattice="-3.647 -3.905 -6.670 8.213 -1.475 1.849 -2.310 -6.505 5.072" Properties=species:S:1:pos:R:3 comment="Hf9PW4, PBEsol geometry, DFT meta-GGA SCAN" formation_enthalpy_0k_ev_per_atom=-0.2976 magmom_total_mub_per_cell=0.00 n_ef_per_ev_cell=15.816 total_energy_ev_per_atom=-61.241 sg="No. 194" pbc="T T T"
Hf 0.998 -6.964 -1.944
W 3.887 -5.982 -2.285
W -4.070 -8.516 -1.926
Hf -0.862 -4.772 0.020
Hf 3.564 -2.723 1.749
W 0.000 0.000 0.000
Hf 2.163 -4.223 -0.814
Hf 0.326 -7.545 4.239
W 1.422 -9.502 -0.690
Hf -2.347 -6.363 -2.697
Hf -3.063 -7.096 0.354
P 2.527 -7.164 2.813
Hf 3.117 -7.113 0.230
Hf 4.602 -5.523 2.947
W 6.326 -3.370 2.176
Hf 5.318 -4.790 -0.104
Hf 0.092 -7.663 1.064
Hf 1.258 -4.922 2.194
Hf 0.070 -2.150 -2.025
Hf 1.929 -4.341 -3.989
W -1.631 -5.904 2.535
W -1.155 -3.253 2.536
Hf 2.186 -9.736 2.275
Hf 3.671 -8.146 4.992
P -0.271 -4.721 -2.563
Hf -1.416 -3.740 -4.742
W 0.833 -2.383 0.940
Hf -1.309 -9.163 -1.499


11.
10
Lattice="-0.384 -3.372 0.997 3.944 -2.016 -5.299 5.620 0.536 3.979" Properties=species:S:1:pos:R:3 comment="Hf2ZrP2, PBEsol geometry, DFT meta-GGA SCAN" formation_enthalpy_0k_ev_per_atom=-1.2092 magmom_total_mub_per_cell=0.00 n_ef_per_ev_cell=3.219 total_energy_ev_per_atom=-36.578 sg="No. 127" pbc="T T T"
Zr 0.000 0.000 0.000
P 6.983 -1.399 -2.039
Zr 4.782 -0.740 -0.660
Hf 2.051 -2.281 -0.651
P 6.282 -0.270 1.510
P 2.580 -0.082 0.719
P 3.282 -1.211 -2.830
Hf 4.164 -1.657 2.274
Hf 5.015 -3.195 -2.598
Hf 7.129 -2.571 0.328


12.
4
Lattice="-2.801 1.353 3.500 -2.472 -3.183 2.385 1.135 -1.007 4.430" Properties=species:S:1:pos:R:3 comment="HfPaTc2, PBEsol geometry, DFT meta-GGA SCAN" formation_enthalpy_0k_ev_per_atom=-0.4105 magmom_total_mub_per_cell=0.00 n_ef_per_ev_cell=2.607 total_energy_ev_per_atom=-58.525 sg="No. 225" pbc="T T T"
Hf -2.069 -1.419 5.158
Tc -3.104 -2.128 7.737
Pa 0.000 0.000 0.000
Tc -1.035 -0.709 2.579